Below is a relaxed Ba6Ge2Br3Cl crystal, with properties calculated at the PBE-GGA level.

Values from the calculation:
**Space-group type**: C2/m
**Raw total energy**: -0.13525 hartree per atom
**ρ**: 4.3 g/cm³
**DOS at the Fermi energy**: 3.12 states/eV/cell
**Energy relative to the elements, uncorrected**: -1377.3 meV/atom

Cell: 4.8243 9.7097 10.9068 Å, 103.59 102.78 90.00°
Last column: nearest neighbours and their distance in Å.
Atoms (fractional coordinates):
Ge: 0.8390 0.6800 0.6781  6 Ba 3.08-3.41
Ge: 0.1610 0.3200 0.3219  6 Ba 3.08-3.41
Ba: 0.3307 0.8958 0.6613  2 Ge 3.23, 1 Cl 3.50, 3 Br 3.53-3.57
Ba: 0.6744 0.5631 0.3488  3 Ge 3.34-3.41, 3 Br 3.60-3.61
Ba: 0.9881 0.7522 0.9761  1 Ge 3.08, 2 Cl 3.37
Ba: 0.6693 0.1042 0.3387  2 Ge 3.23, 1 Cl 3.50, 3 Br 3.53-3.57
Ba: 0.0119 0.2478 0.0239  1 Ge 3.08, 2 Cl 3.37
Ba: 0.3256 0.4369 0.6512  3 Ge 3.34-3.41, 3 Br 3.60-3.61
Cl: 0.5000 0.0000 0.0000  6 Ba 3.37-3.50
Br: 0.5000 0.5000 0.0000  6 Ba 3.49-3.61
Br: 0.8398 0.1704 0.6797  6 Ba 3.53-3.60
Br: 0.1602 0.8296 0.3203  6 Ba 3.53-3.60


Below is a relaxed BaHfBr2Cl crystal, with properties calculated at the PBE-GGA level.

Values from the calculation:
**Space-group type**: P4/mmm
**Raw total energy**: -0.16140 hartree per atom
**ρ**: 5.9 g/cm³
**DOS at the Fermi energy**: 4.76 states/eV/cell
**Energy relative to the elements, uncorrected**: -978.2 meV/atom

Cell: 5.3787 4.9686 5.3787 Å, 90.00 90.00 90.00°
Last column: nearest neighbours and their distance in Å.
Atoms (fractional coordinates):
Br: 0.5000 0.0000 0.0000  2 Hf 2.69
Br: 0.0000 0.0000 0.5000  2 Hf 2.69
Cl: 0.0000 0.5000 0.0000  2 Hf 2.48
Ba: 0.5000 0.5000 0.5000  8 Br 3.66, 4 Cl 3.80
Hf: 0.0000 0.0000 0.0000  2 Cl 2.48, 4 Br 2.69


Below is a relaxed BaHgBrCl crystal, with properties calculated at the PBE-GGA level.

Values from the calculation:
**Space-group type**: F-43m
**Raw total energy**: -0.11224 hartree per atom
**ρ**: 6.0 g/cm³
**DOS at the Fermi energy**: 0.00 states/eV/cell
**Energy relative to the elements, uncorrected**: -1618.1 meV/atom

Cell: 5.6343 5.6343 5.6343 Å, 60.00 60.00 60.00°
Last column: nearest neighbours and their distance in Å.
Atoms (fractional coordinates):
Ba: 0.5000 0.5000 0.5000  4 Cl 3.45, 4 Br 3.45
Hg: 0.0000 0.0000 0.0000  4 Br 3.45, 4 Cl 3.45
Br: 0.2500 0.2500 0.2500  4 Ba 3.45, 4 Hg 3.45
Cl: 0.7500 0.7500 0.7500  4 Hg 3.45, 4 Ba 3.45


Below is a relaxed BaHgBrCl2 crystal, with properties calculated at the PBE-GGA level.

Values from the calculation:
**Space-group type**: P4/mmm
**Raw total energy**: -0.10029 hartree per atom
**ρ**: 3.5 g/cm³
**DOS at the Fermi energy**: 5.27 states/eV/cell
**Energy relative to the elements, uncorrected**: -1210.8 meV/atom

Cell: 5.9792 6.5631 5.9792 Å, 90.00 90.00 90.00°
Last column: nearest neighbours and their distance in Å.
Atoms (fractional coordinates):
Cl: 0.0000 0.0000 0.5000  2 Ba 2.99
Cl: 0.5000 0.0000 0.0000  2 Ba 2.99
Br: 0.0000 0.5000 0.0000  2 Ba 3.28
Hg: 0.5000 0.5000 0.5000  4 Br 4.23, 8 Cl 4.44
Ba: 0.0000 0.0000 0.0000  4 Cl 2.99, 2 Br 3.28


Below is a relaxed Ba2I2BrCl crystal, with properties calculated at the PBE-GGA level.

Values from the calculation:
**Space-group type**: Pmc2_1
**Raw total energy**: -0.13992 hartree per atom
**ρ**: 4.6 g/cm³
**DOS at the Fermi energy**: 0.00 states/eV/cell
**Energy relative to the elements, uncorrected**: -2063.1 meV/atom

Cell: 5.1909 8.7951 10.2518 Å, 90.00 90.00 90.00°
Last column: nearest neighbours and their distance in Å.
Atoms (fractional coordinates):
Cl: 0.5000 0.1466 0.6705  4 Ba 3.13-3.26
Cl: 0.5000 0.6466 0.3295  4 Ba 3.13-3.26
Ba: 0.0000 0.7598 0.1690  2 Cl 3.23, 1 Br 3.33, 4 I 3.49-3.60
Ba: 0.5000 0.7823 0.6114  2 Cl 3.13-3.26, 2 I 3.50
Ba: 0.5000 0.2823 0.3886  2 Cl 3.13-3.26, 2 I 3.50
Ba: 0.0000 0.2598 0.8310  2 Cl 3.23, 1 Br 3.33, 4 I 3.49-3.60
I: 0.0000 0.3635 0.1708  4 Ba 3.49-3.60
I: 0.5000 0.5244 0.8898  3 Ba 3.54-3.65
I: 0.0000 0.8635 0.8292  4 Ba 3.49-3.60
I: 0.5000 0.0244 0.1102  3 Ba 3.54-3.65
Br: 0.0000 0.9689 0.4401  3 Ba 3.33-3.54
Br: 0.0000 0.4689 0.5599  3 Ba 3.33-3.54


Below is a relaxed BaInBrCl2 crystal, with properties calculated at the PBE-GGA level.

Values from the calculation:
**Space-group type**: P2_1/m
**Raw total energy**: -0.13770 hartree per atom
**ρ**: 3.3 g/cm³
**DOS at the Fermi energy**: 0.00 states/eV/cell
**Energy relative to the elements, uncorrected**: -1741.5 meV/atom

Cell: 5.0693 8.4329 11.1747 Å, 121.80 90.00 90.00°
Last column: nearest neighbours and their distance in Å.
Atoms (fractional coordinates):
Cl: 0.7500 0.5652 0.1548  3 Ba 3.13-3.15, 1 In 3.36
Cl: 0.2500 0.4348 0.8452  3 Ba 3.13-3.15, 1 In 3.36
Cl: 0.7500 0.4865 0.6104  3 In 2.97-3.03, 1 Ba 3.12
Cl: 0.2500 0.5135 0.3896  3 In 2.97-3.03, 1 Ba 3.12
Ba: 0.7500 0.6949 0.9386  4 Cl 3.12-3.15, 3 Br 3.31-3.34
Ba: 0.2500 0.3051 0.0614  4 Cl 3.12-3.15, 3 Br 3.31-3.34
In: 0.7500 0.7427 0.5035  3 Cl 2.97-3.03
In: 0.2500 0.2573 0.4965  3 Cl 2.97-3.03
Br: 0.7500 0.0309 0.8693  3 Ba 3.31-3.34, 1 In 3.49
Br: 0.2500 0.9691 0.1307  3 Ba 3.31-3.34, 1 In 3.49


Below is a relaxed Ba4IrBrCl2 crystal, with properties calculated at the PBE-GGA level.

Values from the calculation:
**Space-group type**: P2/m
**Raw total energy**: -0.15117 hartree per atom
**ρ**: 5.0 g/cm³
**DOS at the Fermi energy**: 4.28 states/eV/cell
**Energy relative to the elements, uncorrected**: -1373.6 meV/atom

Cell: 4.5036 8.1438 8.3780 Å, 74.42 90.00 90.00°
Last column: nearest neighbours and their distance in Å.
Atoms (fractional coordinates):
Ba: 0.0000 0.7305 0.7198  1 Ir 2.96
Ba: 0.5000 0.7254 0.2829  2 Ir 3.16, 1 Cl 3.24, 1 Br 3.37
Ba: 0.0000 0.2695 0.2802  1 Ir 2.96
Ba: 0.5000 0.2746 0.7171  2 Ir 3.16, 1 Cl 3.24, 1 Br 3.37
Br: 0.5000 0.5000 0.0000  6 Ba 3.37-3.43
Cl: 0.0000 0.0000 0.0000  6 Ba 3.58-3.62
Cl: 0.5000 0.0000 0.5000  6 Ba 3.24-3.33
Ir: 0.0000 0.5000 0.5000  6 Ba 2.96-3.16


Below is a relaxed Ba6Ir2BrCl3 crystal, with properties calculated at the PBE-GGA level.

Values from the calculation:
**Space-group type**: C2/m
**Raw total energy**: -0.15838 hartree per atom
**ρ**: 5.3 g/cm³
**DOS at the Fermi energy**: 8.06 states/eV/cell
**Energy relative to the elements, uncorrected**: -1270.4 meV/atom

Cell: 4.5312 9.7254 10.3949 Å, 103.68 102.59 90.00°
Last column: nearest neighbours and their distance in Å.
Atoms (fractional coordinates):
Ba: 0.3247 0.4339 0.6493  3 Ir 3.18-3.19, 1 Cl 3.46
Ba: 0.9819 0.7325 0.9637  1 Ir 2.86
Ba: 0.0181 0.2675 0.0363  1 Ir 2.86
Ba: 0.6761 0.1220 0.3521  2 Ir 3.10, 1 Cl 3.32
Ba: 0.3239 0.8780 0.6479  2 Ir 3.10, 1 Cl 3.32
Ba: 0.6753 0.5661 0.3507  3 Ir 3.18-3.19, 1 Cl 3.46
Cl: 0.8433 0.1609 0.6866  6 Ba 3.32-3.58
Cl: 0.5000 0.5000 0.0000  6 Ba 3.28-3.46
Cl: 0.1567 0.8391 0.3134  6 Ba 3.32-3.58
Ir: 0.1635 0.3311 0.3270  6 Ba 2.86-3.19
Ir: 0.8365 0.6689 0.6730  6 Ba 2.86-3.19
Br: 0.5000 0.0000 0.0000  6 Ba 3.40-3.48


Below is a relaxed Ba4IrBr2Cl crystal, with properties calculated at the PBE-GGA level.

Values from the calculation:
**Space-group type**: P2/m
**Raw total energy**: -0.14903 hartree per atom
**ρ**: 5.1 g/cm³
**DOS at the Fermi energy**: 4.15 states/eV/cell
**Energy relative to the elements, uncorrected**: -1337.1 meV/atom

Cell: 4.5217 8.2366 8.4680 Å, 104.98 90.00 90.00°
Last column: nearest neighbours and their distance in Å.
Atoms (fractional coordinates):
Ba: 0.0000 0.2806 0.7887  2 Ir 3.15, 1 Cl 3.27, 1 Br 3.39
Ba: 0.0000 0.7194 0.2113  2 Ir 3.15, 1 Cl 3.27, 1 Br 3.39
Ba: 0.5000 0.7288 0.7814  1 Ir 2.96
Ba: 0.5000 0.2712 0.2186  1 Ir 2.96
Ir: 0.5000 0.5000 0.0000  6 Ba 2.96-3.15
Br: 0.0000 0.5000 0.5000  6 Ba 3.39-3.47
Br: 0.5000 0.0000 0.5000  6 Ba 3.66-3.68
Cl: 0.0000 0.0000 0.0000  6 Ba 3.27-3.37


Below is a relaxed Ba6Ir2Br3Cl crystal, with properties calculated at the PBE-GGA level.

Values from the calculation:
**Space-group type**: C2/m
**Raw total energy**: -0.15515 hartree per atom
**ρ**: 5.5 g/cm³
**DOS at the Fermi energy**: 7.28 states/eV/cell
**Energy relative to the elements, uncorrected**: -1211.5 meV/atom

Cell: 4.5599 9.8830 10.6587 Å, 106.04 102.35 90.00°
Last column: nearest neighbours and their distance in Å.
Atoms (fractional coordinates):
Ba: 0.9804 0.7450 0.9609  1 Ir 2.86
Ba: 0.3292 0.8773 0.6584  2 Ir 3.09, 1 Cl 3.42
Ba: 0.6708 0.1227 0.3416  2 Ir 3.09, 1 Cl 3.42
Ba: 0.6773 0.5609 0.3545  3 Ir 3.19-3.20, 1 Br 3.57
Ba: 0.3227 0.4391 0.6455  3 Ir 3.19-3.20, 1 Br 3.57
Ba: 0.0196 0.2550 0.0391  1 Ir 2.86
Br: 0.5000 0.5000 0.0000  6 Ba 3.43-3.57
Br: 0.1577 0.8363 0.3154  6 Ba 3.48-3.66
Br: 0.8423 0.1637 0.6846  6 Ba 3.48-3.66
Cl: 0.5000 0.0000 0.0000  6 Ba 3.34-3.42
Ir: 0.1627 0.3288 0.3254  6 Ba 2.86-3.20
Ir: 0.8373 0.6712 0.6746  6 Ba 2.86-3.20


Below is a relaxed K2BaBrCl crystal, with properties calculated at the PBE-GGA level.

Values from the calculation:
**Space-group type**: P4/mmm
**Raw total energy**: -0.09423 hartree per atom
**ρ**: 2.0 g/cm³
**DOS at the Fermi energy**: 1.71 states/eV/cell
**Energy relative to the elements, uncorrected**: -1036.6 meV/atom

Cell: 5.6821 8.3791 5.6821 Å, 90.00 90.00 90.00°
Last column: nearest neighbours and their distance in Å.
Atoms (fractional coordinates):
K: 0.0000 0.0000 0.5000  2 Cl 2.84
K: 0.5000 0.0000 0.0000  2 Cl 2.84
Ba: 0.5000 0.5000 0.5000  4 Br 4.02
Br: 0.0000 0.5000 0.0000  4 Ba 4.02, 2 Cl 4.19
Cl: 0.0000 0.0000 0.0000  4 K 2.84


Below is a relaxed KBaBrCl2 crystal, with properties calculated at the PBE-GGA level.

Values from the calculation:
**Space-group type**: P2_1/m
**Raw total energy**: -0.14138 hartree per atom
**ρ**: 2.7 g/cm³
**DOS at the Fermi energy**: 0.00 states/eV/cell
**Energy relative to the elements, uncorrected**: -2169.9 meV/atom

Cell: 5.1436 8.1149 12.2289 Å, 128.36 90.00 90.00°
Last column: nearest neighbours and their distance in Å.
Atoms (fractional coordinates):
K: 0.7500 0.2216 0.4356  3 Cl 3.02-3.22, 1 Br 3.22
K: 0.2500 0.7784 0.5644  3 Cl 3.02-3.22, 1 Br 3.22
Cl: 0.7500 0.5861 0.4029  3 K 3.02-3.22, 1 Ba 3.07
Cl: 0.7500 0.3601 0.8309  3 Ba 3.16-3.18
Cl: 0.2500 0.4139 0.5971  3 K 3.02-3.22, 1 Ba 3.07
Cl: 0.2500 0.6399 0.1691  3 Ba 3.16-3.18
Ba: 0.2500 0.6450 0.9129  4 Cl 3.07-3.18, 3 Br 3.33-3.34
Ba: 0.7500 0.3550 0.0871  4 Cl 3.07-3.18, 3 Br 3.33-3.34
Br: 0.7500 0.9595 0.1022  1 K 3.22, 3 Ba 3.33-3.34
Br: 0.2500 0.0405 0.8978  1 K 3.22, 3 Ba 3.33-3.34